#one
Below is CsAlTe2N after structural relaxation, with properties calculated at the PBE level.

Output
calculated volume: 189 Å³/f.u.

CIF file:
```
data_CsAlTe2N
_chemical_formula_sum 'Cs1 Al1 Te2 N1'
_space_group_name_H-M_alt 'P 1'
_space_group_IT_number 1
_space_group_name_Hall 'P 1'
_cell_length_a 6.725
_cell_length_b 6.725
_cell_length_c 4.170
_cell_angle_alpha 90.00
_cell_angle_beta 90.00
_cell_angle_gamma 90.00
loop_
_atom_site_label
_atom_site_fract_x
_atom_site_fract_y
_atom_site_fract_z
Cs1 0.000 0.000 0.000
Te1 0.000 0.500 0.000
Te2 0.500 0.000 0.000
Al1 0.500 0.500 0.500
N1 0.000 0.000 0.500
```

#two
Below is CsAlTe2N after structural relaxation, with properties calculated at the PBE level.

Output
calculated volume: 147 Å³/f.u.

CIF file:
```
data_CsAlTe2N
_chemical_formula_sum 'Cs1 Al1 Te2 N1'
_space_group_name_H-M_alt 'P 1'
_space_group_IT_number 1
_space_group_name_Hall 'P 1'
_cell_length_a 6.489
_cell_length_b 6.489
_cell_length_c 3.486
_cell_angle_alpha 90.00
_cell_angle_beta 90.00
_cell_angle_gamma 90.00
loop_
_atom_site_label
_atom_site_fract_x
_atom_site_fract_y
_atom_site_fract_z
Cs1 0.500 0.500 0.500
Te1 0.000 0.500 0.000
Te2 0.500 0.000 0.000
Al1 0.000 0.000 0.000
N1 0.000 0.000 0.500
```

Which of the structures shown above is the most stable? The most stable is #two.